Entry 1:
Y2AlCu2 | PBE | relaxed

uncorrected energy = -0.3897 Ry/atom
volume = 20.7 A^3/atom
magnetization = 0.00 μB/cell
DFT formation energy = -1.65 eV per formula unit

Lattice parameters (Å, degrees): 4.225 5.747 9.397 82.72 77.27 68.44
Fractional coordinates of all 10 atoms:
Y: 0.000 0.171 0.330
Y: 0.000 0.829 0.670
Y: 0.191 0.226 0.891
Y: 0.809 0.774 0.109
Al: 0.275 0.585 0.367
Al: 0.725 0.415 0.633
Cu: 0.363 0.210 0.563
Cu: 0.490 0.638 0.883
Cu: 0.510 0.362 0.117
Cu: 0.637 0.790 0.437

Entry 2:
YAl8Cu2 | PBE | relaxed

uncorrected energy = -0.2853 Ry/atom
volume = 22.6 A^3/atom
magnetization = 0.00 μB/cell
DFT formation energy = 1.89 eV per formula unit

Lattice parameters (Å, degrees): 5.651 5.651 7.770 90.00 90.00 90.00
Fractional coordinates of all 11 atoms:
Y: 0.000 0.000 0.000
Al: 0.250 0.250 0.309
Al: 0.250 0.250 0.691
Al: 0.250 0.750 0.309
Al: 0.250 0.750 0.691
Al: 0.750 0.250 0.309
Al: 0.750 0.250 0.691
Al: 0.750 0.750 0.309
Al: 0.750 0.750 0.691
Cu: 0.000 0.500 0.500
Cu: 0.500 0.000 0.500

Entry 3:
Y2AlZn2Cu5 | PBE | relaxed

uncorrected energy = -0.3038 Ry/atom
volume = 16.6 A^3/atom
magnetization = 0.00 μB/cell
DFT formation energy = -1.63 eV per formula unit

Lattice parameters (Å, degrees): 9.726 9.726 3.515 90.00 90.00 90.00
Fractional coordinates of all 20 atoms:
Y: 0.179 0.321 0.000
Y: 0.321 0.821 0.000
Y: 0.679 0.179 0.000
Y: 0.821 0.679 0.000
Al: 0.000 0.000 0.000
Al: 0.500 0.500 0.000
Zn: 0.120 0.620 0.000
Zn: 0.380 0.120 0.000
Zn: 0.620 0.880 0.000
Zn: 0.880 0.380 0.000
Cu: 0.000 0.500 0.500
Cu: 0.050 0.807 0.500
Cu: 0.193 0.050 0.500
Cu: 0.307 0.550 0.500
Cu: 0.450 0.307 0.500
Cu: 0.500 0.000 0.500
Cu: 0.550 0.693 0.500
Cu: 0.693 0.450 0.500
Cu: 0.807 0.950 0.500
Cu: 0.950 0.193 0.500

Entry 4:
Y2AlZn4Cu3 | PBE | relaxed

uncorrected energy = -0.2724 Ry/atom
volume = 17.5 A^3/atom
magnetization = 0.00 μB/cell
DFT formation energy = -3.01 eV per formula unit

Lattice parameters (Å, degrees): 3.965 3.965 11.119 90.00 90.00 90.00
Fractional coordinates of all 10 atoms:
Y: 0.000 0.500 0.246
Y: 0.500 0.000 0.754
Al: 0.000 0.000 0.500
Zn: 0.000 0.000 0.000
Zn: 0.000 0.500 0.643
Zn: 0.500 0.000 0.357
Zn: 0.500 0.500 0.000
Cu: 0.000 0.500 0.861
Cu: 0.500 0.000 0.139
Cu: 0.500 0.500 0.500

Entry 5:
YAl2Zn4Cu | PBE | relaxed

uncorrected energy = -0.2252 Ry/atom
volume = 16.9 A^3/atom
magnetization = 0.00 μB/cell
DFT formation energy = -1.37 eV per formula unit

Lattice parameters (Å, degrees): 8.837 8.837 8.837 28.09 28.09 28.09
Fractional coordinates of all 8 atoms:
Y: 0.000 0.000 0.000
Al: 0.247 0.247 0.247
Al: 0.753 0.753 0.753
Zn: 0.132 0.132 0.132
Zn: 0.399 0.399 0.399
Zn: 0.601 0.601 0.601
Zn: 0.868 0.868 0.868
Cu: 0.500 0.500 0.500

Entry 6:
YAl2ZnCu2 | PBE | relaxed

uncorrected energy = -0.2925 Ry/atom
volume = 18.2 A^3/atom
magnetization = 0.00 μB/cell
DFT formation energy = -0.46 eV per formula unit

Lattice parameters (Å, degrees): 4.432 4.432 5.570 90.00 90.00 90.00
Fractional coordinates of all 6 atoms:
Y: 0.000 0.000 0.000
Al: 0.500 0.500 0.240
Al: 0.500 0.500 0.760
Zn: 0.000 0.000 0.500
Cu: 0.000 0.500 0.500
Cu: 0.500 0.000 0.500

Entry 7:
Y4AlZnCu2 | PBE | relaxed

uncorrected energy = -0.3807 Ry/atom
volume = 22.4 A^3/atom
magnetization = 0.00 μB/cell
DFT formation energy = -2.37 eV per formula unit

Lattice parameters (Å, degrees): 8.698 8.698 8.698 33.60 33.60 33.60
Fractional coordinates of all 8 atoms:
Y: 0.123 0.123 0.123
Y: 0.373 0.373 0.373
Y: 0.627 0.627 0.627
Y: 0.877 0.877 0.877
Al: 0.500 0.500 0.500
Zn: 0.000 0.000 0.000
Cu: 0.247 0.247 0.247
Cu: 0.753 0.753 0.753

Entry 8:
Y2Al3ZnCu12 | PBE | relaxed

uncorrected energy = -0.2990 Ry/atom
volume = 16.2 A^3/atom
magnetization = 0.00 μB/cell
DFT formation energy = 1.36 eV per formula unit

Lattice parameters (Å, degrees): 10.212 10.212 10.212 33.64 33.64 33.64
Fractional coordinates of all 18 atoms:
Y: 0.145 0.145 0.145
Y: 0.855 0.855 0.855
Al: 0.000 0.500 0.500
Al: 0.500 0.000 0.500
Al: 0.500 0.500 0.000
Zn: 0.500 0.500 0.500
Cu: 0.083 0.083 0.679
Cu: 0.083 0.679 0.083
Cu: 0.122 0.592 0.592
Cu: 0.321 0.917 0.917
Cu: 0.408 0.408 0.878
Cu: 0.408 0.878 0.408
Cu: 0.592 0.122 0.592
Cu: 0.592 0.592 0.122
Cu: 0.679 0.083 0.083
Cu: 0.878 0.408 0.408
Cu: 0.917 0.321 0.917
Cu: 0.917 0.917 0.321

Entry 9:
Y2Al4Zn3Cu | PBE | relaxed

uncorrected energy = -0.2914 Ry/atom
volume = 18.4 A^3/atom
magnetization = 0.00 μB/cell
DFT formation energy = -3.83 eV per formula unit

Lattice parameters (Å, degrees): 4.163 4.163 10.600 90.00 90.00 90.00
Fractional coordinates of all 10 atoms:
Y: 0.000 0.500 0.245
Y: 0.500 0.000 0.755
Al: 0.000 0.000 0.500
Al: 0.000 0.500 0.872
Al: 0.500 0.000 0.128
Al: 0.500 0.500 0.500
Zn: 0.000 0.000 0.000
Zn: 0.000 0.500 0.642
Zn: 0.500 0.000 0.358
Cu: 0.500 0.500 0.000

Entry 10:
YbAl2Cu | PBE | relaxed

uncorrected energy = -0.2692 Ry/atom
volume = 18.3 A^3/atom
magnetization = 0.61 μB/cell
DFT formation energy = -1.54 eV per formula unit

Lattice parameters (Å, degrees): 8.993 8.993 8.993 35.54 35.54 35.54
Fractional coordinates of all 12 atoms:
Yb: 0.000 0.000 0.000
Yb: 0.144 0.144 0.144
Yb: 0.856 0.856 0.856
Al: 0.079 0.580 0.580
Al: 0.420 0.420 0.921
Al: 0.420 0.921 0.420
Al: 0.580 0.079 0.580
Al: 0.580 0.580 0.079
Al: 0.921 0.420 0.420
Cu: 0.335 0.335 0.335
Cu: 0.500 0.500 0.500
Cu: 0.665 0.665 0.665

Entry 11:
Yb2Al3Cu | PBE | relaxed

uncorrected energy = -0.2554 Ry/atom
volume = 19.6 A^3/atom
magnetization = 0.13 μB/cell
DFT formation energy = -2.48 eV per formula unit

Lattice parameters (Å, degrees): 5.447 5.447 5.447 61.18 61.18 61.18
Fractional coordinates of all 6 atoms:
Yb: 0.124 0.124 0.124
Yb: 0.876 0.876 0.876
Al: 0.000 0.500 0.500
Al: 0.500 0.000 0.500
Al: 0.500 0.500 0.000
Cu: 0.500 0.500 0.500

Entry 12:
YbAlCu | PBE | relaxed

uncorrected energy = -0.2560 Ry/atom
volume = 18.7 A^3/atom
magnetization = 0.17 μB/cell
DFT formation energy = -1.08 eV per formula unit

Lattice parameters (Å, degrees): 5.385 5.385 5.385 119.24 118.79 91.71
Fractional coordinates of all 6 atoms:
Yb: 0.377 0.127 0.250
Yb: 0.623 0.873 0.750
Al: 0.000 0.000 0.500
Al: 0.000 0.500 0.000
Cu: 0.000 0.500 0.500
Cu: 0.500 0.500 0.000

Entry 13:
YbAlCu | PBE | relaxed

uncorrected energy = -0.2566 Ry/atom
volume = 19.4 A^3/atom
magnetization = 0.42 μB/cell
DFT formation energy = -1.11 eV per formula unit

Lattice parameters (Å, degrees): 7.111 7.111 3.991 90.00 90.00 120.00
Fractional coordinates of all 9 atoms:
Yb: 0.000 0.417 0.000
Yb: 0.417 0.000 0.000
Yb: 0.583 0.583 0.000
Al: 0.000 0.765 0.500
Al: 0.235 0.235 0.500
Al: 0.765 0.000 0.500
Cu: 0.000 0.000 0.000
Cu: 0.333 0.667 0.500
Cu: 0.667 0.333 0.500

Entry 14:
YbAl7Cu5 | PBE | relaxed

uncorrected energy = -0.2965 Ry/atom
volume = 15.0 A^3/atom
magnetization = 0.14 μB/cell
DFT formation energy = -4.24 eV per formula unit

Lattice parameters (Å, degrees): 6.684 6.684 5.101 112.34 112.34 82.08
Fractional coordinates of all 13 atoms:
Yb: 0.000 0.000 0.000
Al: 0.216 0.799 0.508
Al: 0.340 0.645 0.993
Al: 0.344 0.344 0.344
Al: 0.645 0.340 0.993
Al: 0.650 0.650 0.651
Al: 0.773 0.773 0.274
Al: 0.799 0.216 0.508
Cu: 0.227 0.227 0.728
Cu: 0.505 0.999 0.004
Cu: 0.505 0.999 0.501
Cu: 0.999 0.505 0.004
Cu: 0.999 0.505 0.501

Entry 15:
YbAl6Cu6 | PBE | relaxed

uncorrected energy = -0.2981 Ry/atom
volume = 14.7 A^3/atom
magnetization = 0.18 μB/cell
DFT formation energy = -4.18 eV per formula unit

Lattice parameters (Å, degrees): 6.633 6.633 6.633 134.98 99.14 97.72
Fractional coordinates of all 13 atoms:
Yb: 0.000 0.000 0.000
Al: 0.200 0.700 0.500
Al: 0.347 0.000 0.347
Al: 0.349 0.349 0.000
Al: 0.651 0.651 0.000
Al: 0.653 0.000 0.653
Al: 0.800 0.300 0.500
Cu: 0.000 0.000 0.500
Cu: 0.000 0.500 0.000
Cu: 0.232 0.500 0.732
Cu: 0.500 0.000 0.000
Cu: 0.500 0.500 0.500
Cu: 0.768 0.500 0.268

Entry 16:
YbAlCu5 | PBE | relaxed

uncorrected energy = -0.2874 Ry/atom
volume = 14.7 A^3/atom
magnetization = 0.27 μB/cell
DFT formation energy = -1.63 eV per formula unit

Lattice parameters (Å, degrees): 5.186 5.186 5.186 103.23 103.23 122.84
Fractional coordinates of all 7 atoms:
Yb: 0.000 0.000 0.000
Al: 0.250 0.750 0.500
Cu: 0.308 0.308 0.616
Cu: 0.308 0.692 0.000
Cu: 0.692 0.308 0.000
Cu: 0.692 0.692 0.384
Cu: 0.750 0.250 0.500

Entry 17:
AlZn4Cu2 | PBE | relaxed

uncorrected energy = -0.1812 Ry/atom
volume = 14.1 A^3/atom
magnetization = 0.00 μB/cell
DFT formation energy = -0.23 eV per formula unit

Lattice parameters (Å, degrees): 8.798 8.798 2.773 90.00 90.00 152.66
Fractional coordinates of all 7 atoms:
Al: 0.000 0.000 0.000
Zn: 0.153 0.847 0.500
Zn: 0.299 0.701 0.000
Zn: 0.701 0.299 0.000
Zn: 0.847 0.153 0.500
Cu: 0.430 0.570 0.500
Cu: 0.570 0.430 0.500

Entry 18:
Al2ZnCu | PBE | relaxed

uncorrected energy = -0.2387 Ry/atom
volume = 14.8 A^3/atom
magnetization = 0.00 μB/cell
DFT formation energy = -0.13 eV per formula unit

Lattice parameters (Å, degrees): 8.771 8.771 8.771 18.48 18.48 18.48
Fractional coordinates of all 4 atoms:
Al: 0.000 0.000 0.000
Al: 0.242 0.242 0.242
Zn: 0.753 0.753 0.753
Cu: 0.499 0.499 0.499

Entry 19:
Al4ZnCu | PBE | relaxed

uncorrected energy = -0.2315 Ry/atom
volume = 19.3 A^3/atom
magnetization = 0.00 μB/cell
E above lowest polymorph = 0.000 eV per atom
DFT formation energy = 1.44 eV per formula unit

Lattice parameters (Å, degrees): 5.979 5.979 3.233 90.00 90.00 90.45
Fractional coordinates of all 6 atoms:
Al: 0.225 0.775 0.000
Al: 0.288 0.288 0.500
Al: 0.712 0.712 0.500
Al: 0.775 0.225 0.000
Zn: 0.000 0.000 0.500
Cu: 0.500 0.500 0.000

Entry 20:
AlZn2Cu6 | PBE | relaxed

uncorrected energy = -0.2462 Ry/atom
volume = 13.9 A^3/atom
magnetization = 0.00 μB/cell
E above lowest polymorph = 0.178 eV per atom
DFT formation energy = 0.72 eV per formula unit

Lattice parameters (Å, degrees): 6.898 6.898 6.898 144.96 138.00 55.81
Fractional coordinates of all 9 atoms:
Al: 0.000 0.000 0.000
Zn: 0.388 0.888 0.500
Zn: 0.612 0.112 0.500
Cu: 0.051 0.302 0.749
Cu: 0.258 0.500 0.758
Cu: 0.447 0.698 0.749
Cu: 0.553 0.302 0.251
Cu: 0.742 0.500 0.242
Cu: 0.949 0.698 0.251